Entry 1:
4
Lattice="3.452 0.000 0.000 0.000 3.452 0.000 0.000 0.000 7.299" Properties=species:S:1:pos:R:3 comment="ScTcSb2 | the Alexandria database | PBE | relaxed" crystal_system=tetragonal energy_ev_per_atom=-6.507 polymorph_energy_mev_per_atom=0 raw_formation_energy_ev_per_atom=-0.271 pbc="T T T"
Sc 0.000 0.000 0.000
Tc 1.726 1.726 1.538
Sb 0.000 0.000 2.970
Sb 1.726 1.726 5.691

=====

Entry 2:
24
Lattice="7.517 0.000 0.000 0.000 4.032 0.000 0.000 0.000 17.507" Properties=species:S:1:pos:R:3 comment="Sc4TcSb | the Alexandria database | PBE | relaxed" crystal_system=orthorhombic energy_ev_per_atom=-7.136 polymorph_energy_mev_per_atom=0 raw_formation_energy_ev_per_atom=-0.500 pbc="T T T"
Sc 0.044 1.008 1.122
Sc 0.510 3.024 3.659
Sc 0.854 3.024 11.217
Sc 1.149 3.024 7.901
Sc 2.609 1.008 16.654
Sc 2.905 1.008 2.463
Sc 3.248 1.008 12.412
Sc 3.714 3.024 9.876
Sc 3.803 1.008 7.631
Sc 4.268 3.024 5.095
Sc 4.612 3.024 15.043
Sc 4.907 3.024 0.852
Sc 6.368 1.008 9.606
Sc 6.663 1.008 6.290
Sc 7.007 1.008 13.848
Sc 7.472 3.024 16.385
Tc 1.881 1.008 9.817
Tc 1.877 3.024 1.063
Tc 5.640 1.008 16.444
Tc 5.635 3.024 7.690
Sb 1.793 3.024 14.121
Sb 1.965 1.008 5.368
Sb 5.551 3.024 12.139
Sb 5.724 1.008 3.386

=====

Entry 3:
4
Lattice="1.661 0.959 9.373 -1.661 0.959 9.373 0.000 -1.919 9.373" Properties=species:S:1:pos:R:3 comment="ScTcSb2 | the Alexandria database | PBE | relaxed" crystal_system=trigonal energy_ev_per_atom=-6.283 polymorph_energy_mev_per_atom=224 raw_formation_energy_ev_per_atom=-0.047 pbc="T T T"
Sc 0.000 0.000 0.000
Tc 0.000 0.000 7.337
Sb 0.000 0.000 14.813
Sb 0.000 0.000 21.175

=====

Entry 4:
6
Lattice="0.000 3.973 3.973 3.973 0.000 3.973 3.973 3.973 0.000" Properties=species:S:1:pos:R:3 comment="Sc4TcSb | the Alexandria database | PBE | relaxed" crystal_system=cubic energy_ev_per_atom=-6.338 polymorph_energy_mev_per_atom=798 raw_formation_energy_ev_per_atom=0.298 pbc="T T T"
Sc 2.998 2.998 2.998
Sc 4.949 4.949 2.998
Sc 4.949 2.998 4.949
Sc 2.998 4.949 4.949
Tc 5.960 5.960 5.960
Sb 0.000 0.000 0.000

=====

Entry 5:
4
Lattice="0.000 3.411 3.411 3.411 0.000 3.411 3.411 3.411 0.000" Properties=species:S:1:pos:R:3 comment="ScTcSb2 | the Alexandria database | PBE | relaxed" crystal_system=cubic energy_ev_per_atom=-6.445 polymorph_energy_mev_per_atom=62 raw_formation_energy_ev_per_atom=-0.209 pbc="T T T"
Sc 0.000 0.000 0.000
Tc 3.411 3.411 3.411
Sb 1.706 1.706 1.706
Sb 5.117 5.117 5.117

=====

Entry 6:
5
Lattice="4.657 0.000 0.000 0.000 4.657 0.000 0.000 0.000 4.657" Properties=species:S:1:pos:R:3 comment="ScTc3Sb | the Alexandria database | PBE | relaxed" crystal_system=cubic energy_ev_per_atom=-6.715 polymorph_energy_mev_per_atom=262 raw_formation_energy_ev_per_atom=1.595 pbc="T T T"
Sc 0.000 0.000 0.000
Tc 0.000 0.000 2.328
Tc 0.000 2.328 0.000
Tc 2.328 0.000 0.000
Sb 2.328 2.328 2.328

=====

Entry 7:
10
Lattice="6.762 0.000 0.000 0.000 6.762 0.000 0.000 0.000 4.329" Properties=species:S:1:pos:R:3 comment="Sc2Tc2Sb | the Alexandria database | PBE | relaxed" crystal_system=tetragonal energy_ev_per_atom=-7.761 raw_formation_energy_ev_per_atom=-0.257 pbc="T T T"
Sc 1.171 2.210 0.000
Sc 2.210 5.591 0.000
Sc 4.552 1.171 0.000
Sc 5.591 4.552 0.000
Tc 0.835 4.216 2.165
Tc 2.546 0.835 2.165
Tc 4.216 5.927 2.165
Tc 5.927 2.546 2.165
Sb 0.000 0.000 2.165
Sb 3.381 3.381 2.165

=====

Entry 8:
4
Lattice="-2.079 2.079 4.670 2.079 -2.079 4.670 2.079 2.079 -4.670" Properties=species:S:1:pos:R:3 comment="ScTcSb2 | the Alexandria database | PBE | relaxed" crystal_system=tetragonal energy_ev_per_atom=-6.295 polymorph_energy_mev_per_atom=212 raw_formation_energy_ev_per_atom=-0.060 pbc="T T T"
Sc 0.000 0.000 0.000
Tc 2.079 0.000 2.335
Sb 0.000 0.000 4.670
Sb 0.000 2.079 2.335

=====

Entry 9:
8
Lattice="-2.160 2.160 9.666 2.160 -2.160 9.666 2.160 2.160 -9.666" Properties=species:S:1:pos:R:3 comment="ScTcSb2 | the Alexandria database | PBE | relaxed" crystal_system=tetragonal energy_ev_per_atom=-6.093 polymorph_energy_mev_per_atom=414 raw_formation_energy_ev_per_atom=0.142 pbc="T T T"
Sc 0.000 0.000 0.000
Sc 0.000 2.160 4.833
Tc 2.160 0.000 4.833
Tc 0.000 0.000 9.666
Sb 1.080 -1.000 7.249
Sb 1.160 1.080 2.416
Sb 1.080 3.160 -2.416
Sb 1.000 1.080 12.082

=====

Entry 10:
4
Lattice="4.856 0.000 0.000 0.000 4.856 0.000 0.000 0.000 3.368" Properties=species:S:1:pos:R:3 comment="ScTcSb2 | the Alexandria database | PBE | relaxed" crystal_system=tetragonal energy_ev_per_atom=-6.384 polymorph_energy_mev_per_atom=123 raw_formation_energy_ev_per_atom=-0.148 pbc="T T T"
Sc 0.000 0.000 0.000
Tc 2.428 2.428 0.000
Sb 0.000 2.428 1.684
Sb 2.428 0.000 1.684

=====

Entry 11:
4
Lattice="4.113 -1.717 0.000 4.113 1.717 0.000 -1.319 0.000 6.014" Properties=species:S:1:pos:R:3 comment="ScTcSb2 | the Alexandria database | PBE | relaxed" crystal_system=monoclinic energy_ev_per_atom=-6.441 polymorph_energy_mev_per_atom=66 raw_formation_energy_ev_per_atom=-0.206 pbc="T T T"
Sc 0.000 0.000 0.000
Tc 3.453 0.000 3.007
Sb 1.030 0.000 4.315
Sb 5.876 0.000 1.699

=====

Entry 12:
4
Lattice="5.163 -1.764 0.000 5.163 1.764 0.000 -0.774 0.000 4.618" Properties=species:S:1:pos:R:3 comment="ScTcSb2 | the Alexandria database | PBE | relaxed" crystal_system=monoclinic energy_ev_per_atom=-6.450 polymorph_energy_mev_per_atom=57 raw_formation_energy_ev_per_atom=-0.214 pbc="T T T"
Sc 0.000 0.000 0.000
Tc 8.157 0.000 1.909
Sb 2.065 0.000 4.298
Sb 5.107 0.000 2.379